Record 1
Compound: PrY2Cd3Cu2Ag
Source: the Open Quantum Materials Database
Functional: GGA-PBE
Structure: optimized geometry

Computed properties:
Crystal system ... orthorhombic

Structure (CIF):
```
data_PrY2Cd3Cu2Ag
_chemical_formula_sum 'Pr1 Y2 Cd3 Cu2 Ag1'
_symmetry_space_group_name_H-M 'P 1'
_symmetry_Int_Tables_number 1
_cell_length_a 3.914
_cell_length_b 7.740
_cell_length_c 7.740
_cell_angle_alpha 119.82
_cell_angle_beta 90.00
_cell_angle_gamma 90.00
loop_
_symmetry_equiv_pos_as_xyz
'x,y,z'
loop_
_atom_site_label
_atom_site_type_symbol
_atom_site_fract_x
_atom_site_fract_y
_atom_site_fract_z
_atom_site_occupancy
Pr1 Pr 0.000 0.000 0.000 1
Y1 Y 0.000 0.179 0.589 1
Y2 Y 0.000 0.589 0.179 1
Cd1 Cd 0.500 0.327 0.327 1
Cd2 Cd 0.500 0.585 0.856 1
Cd3 Cd 0.500 0.856 0.585 1
Cu1 Cu 0.500 0.261 0.922 1
Cu2 Cu 0.500 0.922 0.261 1
Ag1 Ag 0.000 0.588 0.588 1
```

=====

Record 2
Compound: ScCdCuAg
Source: the Open Quantum Materials Database
Functional: GGA-PBE
Structure: optimized geometry

Computed properties:
Crystal system ... cubic
Polymorph energy (0 for the lowest one) ... 0.0921 eV/atom

Structure (CIF):
```
data_ScCdCuAg
_chemical_formula_sum 'Sc1 Cd1 Cu1 Ag1'
_symmetry_space_group_name_H-M 'P 1'
_symmetry_Int_Tables_number 1
_cell_length_a 4.664
_cell_length_b 4.664
_cell_length_c 4.664
_cell_angle_alpha 60.00
_cell_angle_beta 60.00
_cell_angle_gamma 60.00
loop_
_symmetry_equiv_pos_as_xyz
'x,y,z'
loop_
_atom_site_label
_atom_site_type_symbol
_atom_site_fract_x
_atom_site_fract_y
_atom_site_fract_z
_atom_site_occupancy
Sc1 Sc 0.000 0.000 0.000 1
Cd1 Cd 0.250 0.250 0.250 1
Cu1 Cu 0.500 0.500 0.500 1
Ag1 Ag 0.750 0.750 0.750 1
```

=====

Which formation energy belongs to each record? In order, -0.303 -0.114 eV per atom.